[1]
# LaTlH2Br

A relaxed structure of LaTlH2Br (PBE, Alexandria).

## Properties
- Total moment: 0.00 μB per cell
- Fermi-level density of states: 0.4754 states/eV/atom
- Calculated total energy: -18.0 eV for the cell shown

Cell lengths 4.6115, 4.6115, 6.0317 Å; angles 90.00, 90.00, 90.00 degrees
With the nearest neighbours (Å) after each atom.
Space group P4/mmm (No. 123)
Unique sites:
La 0.0000 0.0000 0.0000 x1  4 H 2.31
Tl 0.5000 0.5000 0.5000 x1  4 Br 3.26
H 0.0000 0.5000 0.0000 x2  2 La 2.31
Br 0.0000 0.0000 0.5000 x1  2 La 3.02, 4 Tl 3.26


[2]
# YCoGe2

A relaxed structure of YCoGe2 (PBE, Alexandria).

## Properties
- Energy of formation from the pure elements: -0.64 eV/atom
- Total moment: 0.00 μB per cell
- Fermi-level density of states: 0.6036 states/eV/atom
- Calculated total energy: -50.8 eV for the cell shown

Cell lengths 4.1317, 4.1797, 8.5409 Å; angles 90.00, 103.93, 90.00 degrees
With the nearest neighbours (Å) after each atom.
Space group P2_1/m (No. 11)
Unique sites:
Y 0.1094 0.2500 0.2192 x2  10 Ge 3.10-3.28, 4 Co 3.16-3.17
Co 0.3184 0.2500 0.6391 x2  5 Ge 2.26-2.38
Ge 0.2516 0.7500 0.5015 x2  4 Co 2.37-2.38
Ge 0.4553 0.2500 0.9120 x2  1 Co 2.26


[3]
# Be9Cr2W

A relaxed structure of Be9Cr2W (PBE, Alexandria).

## Properties
- Energy of formation from the pure elements: -0.18 eV/atom
- Total moment: 0.00 μB per cell
- Fermi-level density of states: 0.3266 states/eV/atom
- Calculated total energy: -203.6 eV for the cell shown

Cell lengths 4.2685, 4.2685, 20.2096 Å; angles 90.00, 90.00, 120.00 degrees
With the nearest neighbours (Å) after each atom.
Space group R-3m (No. 166, hexagonal axes)
Unique sites:
Be 0.0000 0.0000 0.0000 x3  6 Be 2.10
Be 0.0000 0.0000 0.1659 x6  6 Be 2.08-2.09
Be 0.0043 0.5021 0.4166 x18  7 Be 2.08-2.16
Cr 0.0000 0.0000 0.3539 x6  12 Be 2.43-2.50, 3 Cr 2.60
W 0.0000 0.0000 0.5000 x3  18 Be 2.46-2.72


[4]
# Mn2CoBr

A relaxed structure of Mn2CoBr (PBE, Alexandria).

## Properties
- Energy above the lowest structure with this stoichiometry: 211.7 meV/atom
- Total moment: 18.20 μB per cell
- Fermi-level density of states: 0.7180 states/eV/atom
- Calculated total energy: -50.7 eV for the cell shown

Cell lengths 8.4913, 3.1175, 6.2824 Å; angles 90.00, 97.39, 90.00 degrees
With the nearest neighbours (Å) after each atom.
Space group Cm (No. 8)
Unique sites:
Mn 0.0000 0.0000 0.0000 x2  3 Co 2.40-2.44
Mn 0.2478 0.5000 0.2434 x2  2 Co 2.43, 2 Br 2.55
Co 0.2764 0.0000 0.9537 x2  5 Mn 2.40-2.44, 1 Br 2.44
Br 0.2389 0.0000 0.5628 x2  1 Co 2.44, 2 Mn 2.55


[5]
# KAlCl

A relaxed structure of KAlCl (PBE, Alexandria).

## Properties
- Energy above the lowest structure with this stoichiometry: 0.0 meV/atom
- Total moment: 0.00 μB per cell
- Fermi-level density of states: 0.4944 states/eV/atom
- Calculated total energy: -15.9 eV for the cell shown

Cell lengths 3.6069, 3.6069, 13.5865 Å; angles 90.00, 90.00, 90.00 degrees
With the nearest neighbours (Å) after each atom.
Space group I4mm (No. 107)
Unique sites:
K 0.0000 0.0000 0.0000 x2  4 Cl 3.02
Al 0.0000 0.0000 0.7059 x2  4 Cl 3.48, 4 Al 3.61, 4 K 3.79
Cl 0.0000 0.0000 0.3804 x2  4 K 3.02


[6]
# Li2ReAuBr

A relaxed structure of Li2ReAuBr (PBE, Alexandria).

## Properties
- Total moment: 4.76 μB per cell
- Fermi-level density of states: 0.4018 states/eV/atom
- Calculated total energy: -15.7 eV for the cell shown

Cell lengths 4.9576, 4.9576, 5.3385 Å; angles 90.00, 90.00, 90.00 degrees
With the nearest neighbours (Å) after each atom.
Space group P4/mmm (No. 123)
Unique sites:
Li 0.0000 0.5000 0.0000 x2  2 Au 2.48
Re 0.0000 0.0000 0.5000 x1  4 Br 3.51, 8 Li 3.64
Au 0.5000 0.5000 0.0000 x1  4 Li 2.48, 2 Br 2.67
Br 0.5000 0.5000 0.5000 x1  2 Au 2.67


[7]
# TaFeRe2

A relaxed structure of TaFeRe2 (PBE, Alexandria).

## Properties
- Energy of formation from the pure elements: -0.03 eV/atom
- Total moment: 2.22 μB per cell
- Fermi-level density of states: 0.6966 states/eV/atom
- Calculated total energy: -45.3 eV for the cell shown

Cell lengths 3.1606, 4.3313, 4.3770 Å; angles 90.00, 90.00, 90.00 degrees
With the nearest neighbours (Å) after each atom.
Space group Pmmm (No. 47)
Unique sites:
Ta 0.0000 0.0000 0.0000 x1  4 Fe 2.68, 4 Re 2.70
Fe 0.5000 0.5000 0.0000 x1  4 Ta 2.68, 4 Re 2.70
Re 0.0000 0.5000 0.5000 x1  4 Re 2.68, 4 Fe 2.70
Re 0.5000 0.0000 0.5000 x1  4 Re 2.68, 4 Ta 2.70


[8]
# Mn2Pd5Pt5

A relaxed structure of Mn2Pd5Pt5 (PBE, Alexandria).

## Properties
- Energy of formation from the pure elements: -0.21 eV/atom
- Total moment: 17.93 μB per cell
- Fermi-level density of states: 1.3344 states/eV/atom
- Calculated total energy: -154.1 eV for the cell shown

Cell lengths 11.8033, 3.9284, 8.7932 Å; angles 90.00, 116.24, 90.00 degrees
With the nearest neighbours (Å) after each atom.
Space group C2/m (No. 12)
Unique sites:
Mn 0.0829 0.0000 0.2517 x4  7 Pt 2.74-2.79, 5 Pd 2.75-2.79
Pd 0.0000 0.0000 0.5000 x2  2 Mn 2.76, 8 Pt 2.78-2.79, 2 Pd 2.85
Pd 0.1649 0.0000 0.9989 x4  5 Pt 2.77-2.84, 5 Pd 2.78-2.81, 2 Mn 2.78-2.79
Pd 0.2444 0.5000 0.2477 x4  6 Pt 2.74-2.85, 2 Mn 2.75, 4 Pd 2.78-2.85
Pt 0.0000 0.5000 0.0000 x2  6 Pd 2.74-2.77, 2 Pt 2.74, 4 Mn 2.79
Pt 0.0800 0.5000 0.7506 x4  2 Mn 2.74, 3 Pt 2.74-2.80, 7 Pd 2.77-2.85
Pt 0.1677 0.5000 0.5018 x4  5 Pd 2.76-2.79, 4 Pt 2.77-2.80, 3 Mn 2.78


[9]
# NaGaTe2

A relaxed structure of NaGaTe2 (PBE, Alexandria).

## Properties
- Total moment: 0.00 μB per cell
- Fermi-level density of states: 0.6177 states/eV/atom
- Calculated total energy: -32.8 eV for the cell shown

Cell lengths 3.3860, 3.3860, 34.4256 Å; angles 90.00, 90.00, 120.00 degrees
With the nearest neighbours (Å) after each atom.
Space group R-3m (No. 166, hexagonal axes)
Unique sites:
Na 0.0000 0.0000 0.0000 x3  6 Te 3.18, 6 Na 3.39
Ga 0.0000 0.0000 0.5000 x3  2 Te 3.23, 6 Ga 3.39
Te 0.0000 0.0000 0.4060 x6  3 Na 3.18, 1 Ga 3.23, 6 Te 3.39


[10]
# TlHgPtPb

A relaxed structure of TlHgPtPb (PBE, Alexandria).

## Properties
- Energy of formation from the pure elements: 0.10 eV/atom
- Total moment: 0.00 μB per cell
- Fermi-level density of states: 0.3811 states/eV/atom
- Calculated total energy: -48.1 eV for the cell shown

Cell lengths 7.2820, 7.2820, 7.2820 Å; angles 90.00, 90.00, 90.00 degrees
With the nearest neighbours (Å) after each atom.
Space group F-43m (No. 216)
Unique sites:
Tl 0.0000 0.0000 0.0000 x4  4 Pt 3.15, 4 Hg 3.15
Hg 0.2500 0.2500 0.2500 x4  4 Tl 3.15, 4 Pb 3.15
Pt 0.2500 0.2500 0.7500 x4  4 Tl 3.15, 4 Pb 3.15
Pb 0.0000 0.0000 0.5000 x4  4 Hg 3.15, 4 Pt 3.15


[11]
# RbTl2RhBr6

A relaxed structure of RbTl2RhBr6 (PBE, Alexandria).

## Properties
- Total moment: 0.00 μB per cell
- Calculated total energy: -62.8 eV for the cell shown

Cell lengths 7.4576, 8.6151, 12.9260 Å; angles 90.00, 121.92, 90.00 degrees
With the nearest neighbours (Å) after each atom.
Space group P2_1/c (No. 14)
Unique sites:
Rb 0.0000 0.0000 0.0000 x2  6 Br 3.40-3.59
Tl 0.2079 0.0549 0.7346 x4  6 Br 3.29-3.44
Rh 0.5000 0.0000 0.5000 x2  6 Br 2.52-2.54
Br 0.1947 0.1527 0.4791 x4  1 Rh 2.52
Br 0.2625 0.7354 0.9080 x4  1 Rh 2.54
Br 0.4083 0.0882 0.2917 x4  1 Rh 2.52


[12]
# YSbMo3

A relaxed structure of YSbMo3 (PBE, Alexandria).

## Properties
- Energy above the lowest structure with this stoichiometry: 939.3 meV/atom
- Total moment: 3.10 μB per cell
- Fermi-level density of states: 1.6404 states/eV/atom
- Calculated total energy: -31.5 eV for the cell shown

Cell lengths 4.9001, 4.9001, 4.9001 Å; angles 90.00, 90.00, 90.00 degrees
With the nearest neighbours (Å) after each atom.
Space group Pm-3m (No. 221)
Unique sites:
Y 0.0000 0.0000 0.0000 x1  6 Mo 2.45
Sb 0.5000 0.5000 0.5000 x1  12 Mo 3.46
Mo 0.0000 0.0000 0.5000 x3  2 Y 2.45


- What is the formula in the seventh record?
  TaFeRe2


- Among the records above, which one has the highest total moment?
  Mn2CoBr


Repeat the sixth record exactly.
# Li2ReAuBr

A relaxed structure of Li2ReAuBr (PBE, Alexandria).

## Properties
- Total moment: 4.76 μB per cell
- Fermi-level density of states: 0.4018 states/eV/atom
- Calculated total energy: -15.7 eV for the cell shown

Cell lengths 4.9576, 4.9576, 5.3385 Å; angles 90.00, 90.00, 90.00 degrees
With the nearest neighbours (Å) after each atom.
Space group P4/mmm (No. 123)
Unique sites:
Li 0.0000 0.5000 0.0000 x2  2 Au 2.48
Re 0.0000 0.0000 0.5000 x1  4 Br 3.51, 8 Li 3.64
Au 0.5000 0.5000 0.0000 x1  4 Li 2.48, 2 Br 2.67
Br 0.5000 0.5000 0.5000 x1  2 Au 2.67